InCoMoPd after structural relaxation. Source: OQMD via LeMat-Bulk, functional PBE.

## Properties
**Raw total energy**: -6.28 eV/atom
**Magnetic moment**: 0.39 μB/f.u.
**E above lowest polymorph**: 0.0 meV/atom

abc: 6.2866 6.2866 6.2866
angles: 90.00 90.00 90.00
Space group F-43m (No. 216)
Unique sites:
In (0.0000, 0.0000, 0.0000) (multiplicity 4)
Co (0.2500, 0.2500, 0.2500) (multiplicity 4)
Mo (0.0000, 0.0000, 0.5000) (multiplicity 4)
Pd (0.2500, 0.2500, 0.7500) (multiplicity 4)